Density functional theory data (PBE) for KPrPb2 after structural relaxation.

abc: 3.7435 3.7435 34.0942
angles: 90.00 90.00 120.00
Space group R-3m (No. 166, hexagonal axes)
Symmetry-distinct sites (fractional):
K 0.0000 0.0000 0.0000 (multiplicity 3)
Pr 0.0000 0.0000 0.5000 (multiplicity 3)
Pb 0.0000 0.0000 0.2459 (multiplicity 6)

Values from the calculation:
V, A^3/atom: 34.481
Energy relative to the lowest polymorph listed for this composition, meV/atom: 142.3
Magnetization, μB/cell: 0.001
Energy relative to the elements, eV per atom: -0.177
DOS(E_F), states/eV/f.u.: 3.85
Electronic total energy, eV/atom: -3.5004